DFT (PBE) results for an optimized crystal structure of V4Co5Ni2.

Cell: 4.6926 8.4300 15.2832 Å, 90.00 90.00 90.00°
Space group Fmmm (No. 69)
Unique sites:
V  0.0000  0.1550  0.1309 [16 per cell]
Co  0.0000  0.0000  0.0000 [4 per cell]
Co  0.2500  0.2500  0.0000 [8 per cell]
Co  0.2500  0.2500  0.2500 [8 per cell]
Ni  0.0000  0.0000  0.2886 [8 per cell]

## Properties
N(E_F): 67.34 states/eV/cell
volume: 13.7 A^3/atom
total energy: -7.19 eV/atom
energy of formation from the pure elements: 0.403 eV per atom
crystal system: orthorhombic